The following is a DFT calculation (meta-GGA SCAN) of MnAsIr2 at its PBEsol-relaxed geometry.

Summary:
formation energy from the elements = -110 meV/atom
N(E_F) = 2.6 states/eV/f.u.
calculated total energy = -45.27 eV per atom

a = 2.829 Å, b = 2.829 Å, c = 24.614 Å
α = 90.00°, β = 90.00°, γ = 120.00°
Atoms (fractional coordinates):
Mn1 0.000 0.000 0.000
Mn2 0.333 0.667 0.667
Mn3 0.667 0.333 0.333
As1 0.000 0.000 0.500
As2 0.333 0.667 0.167
As3 0.667 0.333 0.833
Ir1 0.000 0.000 0.251
Ir2 0.000 0.000 0.749
Ir3 0.333 0.667 0.416
Ir4 0.333 0.667 0.918
Ir5 0.667 0.333 0.082
Ir6 0.667 0.333 0.584